(1)
In2Pd8Pt3: optimized geometry, PBE.

Cell and atoms, written as POSCAR:
```
In2Pd8Pt3
1.0
6.472 -3.665 0.000
6.472 3.665 0.000
-0.425 0.000 4.682
In Pd Pt
2 8 3
Direct
0.159 0.159 0.269 In
0.841 0.841 0.731 In
0.054 0.054 0.759 Pd
0.121 0.538 0.320 Pd
0.310 0.310 0.812 Pd
0.462 0.879 0.680 Pd
0.538 0.121 0.320 Pd
0.690 0.690 0.188 Pd
0.879 0.462 0.680 Pd
0.946 0.946 0.241 Pd
0.320 0.680 0.000 Pt
0.500 0.500 0.500 Pt
0.680 0.320 0.000 Pt
```

Summary:
Total moment: 0.0 μB/f.u.

---

(2)
In2Pd8Pt3: optimized geometry, PBE.

Cell and atoms, written as POSCAR:
```
In2Pd8Pt3
1.0
3.410 -7.503 0.000
3.410 7.503 0.000
0.000 0.000 4.424
In Pd Pt
2 8 3
Direct
0.228 0.772 0.000 In
0.772 0.228 0.000 In
0.124 0.876 0.500 Pd
0.191 0.409 0.000 Pd
0.334 0.666 0.500 Pd
0.409 0.191 0.000 Pd
0.591 0.809 0.000 Pd
0.666 0.334 0.500 Pd
0.809 0.591 0.000 Pd
0.876 0.124 0.500 Pd
0.000 0.000 0.000 Pt
0.303 0.303 0.500 Pt
0.697 0.697 0.500 Pt
```

Summary:
Total moment: 0.0 μB/f.u.

---

Name the most stable of them. (1).

---

(1)
InPd3Pt3: optimized geometry, PBE.

Cell and atoms, written as POSCAR:
```
InPd3Pt3
1.0
5.204 0.000 0.000
2.338 6.319 0.000
0.970 -0.207 7.088
In Pd Pt
2 6 6
Direct
0.000 0.000 0.000 In
0.477 0.564 0.639 In
0.153 0.554 0.039 Pd
0.332 0.138 0.199 Pd
0.340 0.017 0.597 Pd
0.700 0.401 0.164 Pd
0.809 0.164 0.474 Pd
0.924 0.804 0.678 Pd
0.088 0.449 0.436 Pt
0.270 0.765 0.321 Pt
0.533 0.198 0.845 Pt
0.556 0.769 0.961 Pt
0.750 0.812 0.308 Pt
0.954 0.373 0.794 Pt
```

Summary:
Total moment: 0.0 μB/f.u.

---

(2)
InPd3Pt3: optimized geometry, PBE.

Cell and atoms, written as POSCAR:
```
InPd3Pt3
1.0
7.451 0.000 0.000
-3.726 6.453 0.000
0.000 0.000 4.704
In Pd Pt
2 6 6
Direct
0.333 0.667 0.250 In
0.667 0.333 0.750 In
0.044 0.237 0.250 Pd
0.193 0.956 0.250 Pd
0.237 0.193 0.750 Pd
0.763 0.807 0.250 Pd
0.807 0.044 0.750 Pd
0.956 0.763 0.750 Pd
0.090 0.467 0.750 Pt
0.378 0.910 0.750 Pt
0.467 0.378 0.250 Pt
0.533 0.622 0.750 Pt
0.622 0.090 0.250 Pt
0.910 0.533 0.250 Pt
```

Summary:
Total moment: 0.0 μB/f.u.

---

Name the most stable of them. (2).

---

(1)
In2Pd5Pt5: optimized geometry, PBE.

Cell and atoms, written as POSCAR:
```
In2Pd5Pt5
1.0
6.067 -2.004 0.000
6.067 2.004 0.000
-4.122 0.000 7.963
In Pd Pt
2 5 5
Direct
0.084 0.084 0.250 In
0.916 0.916 0.750 In
0.334 0.334 0.499 Pd
0.416 0.416 0.251 Pd
0.500 0.500 0.000 Pd
0.584 0.584 0.749 Pd
0.666 0.666 0.501 Pd
0.000 0.000 0.500 Pt
0.169 0.169 0.000 Pt
0.249 0.249 0.751 Pt
0.751 0.751 0.249 Pt
0.831 0.831 0.000 Pt
```

Summary:
Total moment: 0.0 μB/f.u.

---

(2)
In2Pd5Pt5: optimized geometry, PBE.

Cell and atoms, written as POSCAR:
```
In2Pd5Pt5
1.0
6.101 -2.042 0.000
6.101 2.042 0.000
-4.025 0.000 7.798
In Pd Pt
2 5 5
Direct
0.156 0.156 0.000 In
0.844 0.844 0.000 In
0.000 0.000 0.500 Pd
0.086 0.086 0.258 Pd
0.248 0.248 0.750 Pd
0.752 0.752 0.250 Pd
0.914 0.914 0.742 Pd
0.334 0.334 0.501 Pt
0.414 0.414 0.249 Pt
0.500 0.500 0.000 Pt
0.586 0.586 0.751 Pt
0.666 0.666 0.499 Pt
```

Summary:
Total moment: 0.0 μB/f.u.

---

Name the most stable of them. (1).

---

(1)
InPdPt6: optimized geometry, PBE.

Cell and atoms, written as POSCAR:
```
InPdPt6
1.0
2.629 1.518 7.230
-2.629 1.518 7.230
0.000 -3.036 7.230
In Pd Pt
1 1 6
Direct
0.000 0.000 0.000 In
0.500 0.500 0.500 Pd
0.063 0.063 0.560 Pt
0.063 0.560 0.063 Pt
0.440 0.937 0.937 Pt
0.560 0.063 0.063 Pt
0.937 0.440 0.937 Pt
0.937 0.937 0.440 Pt
```

Summary:
Total moment: 0.0 μB/f.u.

---

(2)
InPdPt6: optimized geometry, PBE.

Cell and atoms, written as POSCAR:
```
InPdPt6
1.0
3.994 0.000 0.000
0.000 3.994 0.000
0.000 0.000 8.054
In Pd Pt
1 1 6
Direct
0.000 0.000 0.000 In
0.000 0.000 0.500 Pd
0.000 0.500 0.254 Pt
0.000 0.500 0.746 Pt
0.500 0.000 0.254 Pt
0.500 0.000 0.746 Pt
0.500 0.500 0.000 Pt
0.500 0.500 0.500 Pt
```

Summary:
Total moment: 0.0 μB/f.u.

---

Name the most stable of them. (2).

---

(1)
In3PdPt: optimized geometry, PBE.

Cell and atoms, written as POSCAR:
```
In3PdPt
1.0
5.115 0.000 0.000
0.000 5.115 0.000
0.000 0.000 5.115
In Pd Pt
3 1 1
Direct
0.000 0.000 0.500 In
0.000 0.500 0.000 In
0.500 0.000 0.000 In
0.500 0.500 0.500 Pd
0.000 0.000 0.000 Pt
```

Summary:
Total moment: 0.0 μB/f.u.

---

(2)
In3PdPt: optimized geometry, PBE.

Cell and atoms, written as POSCAR:
```
In3PdPt
1.0
4.397 0.000 0.000
0.000 8.116 0.000
0.000 0.000 5.752
In Pd Pt
6 2 2
Direct
0.250 0.057 0.241 In
0.250 0.250 0.738 In
0.250 0.443 0.241 In
0.750 0.557 0.759 In
0.750 0.750 0.262 In
0.750 0.943 0.759 In
0.250 0.750 0.521 Pd
0.750 0.250 0.479 Pd
0.250 0.750 0.994 Pt
0.750 0.250 0.006 Pt
```

Summary:
Total moment: 0.0 μB/f.u.

---

Name the most stable of them. (2).

---

(1)
InPd8Pt2: optimized geometry, PBE.

Cell and atoms, written as POSCAR:
```
InPd8Pt2
1.0
7.172 -1.999 0.000
7.172 1.999 0.000
-1.623 0.000 6.047
In Pd Pt
1 8 2
Direct
0.000 0.000 0.000 In
0.092 0.092 0.455 Pd
0.183 0.183 0.909 Pd
0.363 0.363 0.817 Pd
0.454 0.454 0.274 Pd
0.546 0.546 0.726 Pd
0.637 0.637 0.183 Pd
0.817 0.817 0.091 Pd
0.908 0.908 0.545 Pd
0.274 0.274 0.367 Pt
0.726 0.726 0.633 Pt
```

Summary:
Total moment: 0.0 μB/f.u.

---

(2)
InPd8Pt2: optimized geometry, PBE.

Cell and atoms, written as POSCAR:
```
InPd8Pt2
1.0
4.949 -4.538 0.000
4.949 4.538 0.000
-1.279 0.000 4.548
In Pd Pt
1 8 2
Direct
0.000 0.000 0.000 In
0.163 0.665 0.212 Pd
0.279 0.279 0.132 Pd
0.335 0.837 0.788 Pd
0.425 0.425 0.711 Pd
0.575 0.575 0.289 Pd
0.665 0.163 0.212 Pd
0.721 0.721 0.868 Pd
0.837 0.335 0.788 Pd
0.147 0.147 0.557 Pt
0.853 0.853 0.443 Pt
```

Summary:
Total moment: 0.0 μB/f.u.

---

Name the most stable of them. (1).

---

(1)
In2Pd6Pt: optimized geometry, PBE.

Cell and atoms, written as POSCAR:
```
In2Pd6Pt
1.0
4.820 -2.681 0.000
4.820 2.681 0.000
-2.003 0.000 6.096
In Pd Pt
2 6 1
Direct
0.154 0.154 0.146 In
0.846 0.846 0.854 In
0.158 0.671 0.286 Pd
0.303 0.303 0.588 Pd
0.329 0.842 0.714 Pd
0.671 0.158 0.286 Pd
0.697 0.697 0.412 Pd
0.842 0.329 0.714 Pd
0.500 0.500 0.000 Pt
```

Summary:
Total moment: 0.0 μB/f.u.

---

(2)
In2Pd6Pt: optimized geometry, PBE.

Cell and atoms, written as POSCAR:
```
In2Pd6Pt
1.0
0.000 5.602 6.331
2.087 0.000 6.331
2.087 5.602 0.000
In Pd Pt
2 6 1
Direct
0.155 0.155 0.845 In
0.845 0.845 0.155 In
0.166 0.494 0.506 Pd
0.172 0.828 0.172 Pd
0.494 0.166 0.834 Pd
0.506 0.834 0.166 Pd
0.828 0.172 0.828 Pd
0.834 0.506 0.494 Pd
0.500 0.500 0.500 Pt
```

Summary:
Total moment: 0.0 μB/f.u.

---

Name the most stable of them. (2).

---

(1)
In2PdPt3: optimized geometry, PBE.

Cell and atoms, written as POSCAR:
```
In2PdPt3
1.0
0.000 6.207 6.218
5.842 0.000 6.218
5.842 6.207 0.000
In Pd Pt
8 4 12
Direct
0.176 0.767 0.767 In
0.211 0.233 0.233 In
0.233 0.211 0.824 In
0.233 0.824 0.211 In
0.767 0.176 0.789 In
0.767 0.789 0.176 In
0.789 0.767 0.767 In
0.824 0.233 0.233 In
0.258 0.492 0.492 Pd
0.492 0.258 0.258 Pd
0.508 0.742 0.742 Pd
0.742 0.508 0.508 Pd
0.000 0.000 0.000 Pt
0.000 0.000 0.500 Pt
0.000 0.500 0.000 Pt
0.155 0.155 0.595 Pt
0.155 0.595 0.155 Pt
0.405 0.405 0.845 Pt
0.405 0.845 0.405 Pt
0.500 0.000 0.000 Pt
0.595 0.155 0.595 Pt
0.595 0.595 0.155 Pt
0.845 0.405 0.845 Pt
0.845 0.845 0.405 Pt
```

Summary:
Total moment: 0.0 μB/f.u.

---

(2)
In2PdPt3: optimized geometry, PBE.

Cell and atoms, written as POSCAR:
```
In2PdPt3
1.0
-4.232 5.156 2.762
4.232 -5.156 2.762
4.232 5.156 -2.762
In Pd Pt
4 2 6
Direct
0.138 0.231 0.369 In
0.362 0.731 0.093 In
0.638 0.269 0.907 In
0.862 0.769 0.631 In
0.000 0.500 0.500 Pd
0.500 0.000 0.500 Pd
0.021 0.750 0.271 Pt
0.250 0.250 0.000 Pt
0.479 0.750 0.729 Pt
0.521 0.250 0.271 Pt
0.750 0.750 0.000 Pt
0.979 0.250 0.729 Pt
```

Summary:
Total moment: 0.0 μB/f.u.

---

Name the most stable of them. (2).